Material: La4Pr5Ho4
Method: DFT, PBE
State: optimized geometry

Results
- ρ: 7.018 Mg/m³
- Final energy: -4.741 eV/atom
- Energy of formation from the pure elements: 0.022 eV per atom

a = 5.201 Å, b = 9.697 Å, c = 9.701 Å
α = 85.93°, β = 74.48°, γ = 74.50°
Space group P-1 (No. 2)
Unique sites:
La 0.077 0.306 0.040 (multiplicity 2)
La 0.384 0.540 0.194 (multiplicity 2)
Pr 0.000 0.000 0.500 (multiplicity 1)
Pr 0.309 0.233 0.649 (multiplicity 2)
Pr 0.458 0.851 0.733 (multiplicity 2)
Ho 0.154 0.614 0.577 (multiplicity 2)
Ho 0.231 0.923 0.114 (multiplicity 2)